Run 1
The following is a DFT calculation (GGA-PBE) of a relaxed PrNiAg crystal.

Summary:
Magnetic moment: 0.000 μB/f.u.

Cell lengths 3.561, 3.561, 9.905 Å; angles 90.00, 90.00, 90.00 degrees
Space group I4mm (No. 107)
Inequivalent atoms, fractional coordinates:
Pr1 0.000 0.000 0.000 x2
Ni1 0.000 0.000 0.663 x2
Ag1 0.000 0.000 0.299 x2

***

Run 2
The following is a DFT calculation (GGA-PBE) of a relaxed PrNiAg crystal.

Summary:
Magnetic moment: 0.000 μB/f.u.

Cell lengths 4.4808, 4.4808, 3.7639 Å; angles 90.00, 90.00, 120.00 degrees
Space group P-6m2 (No. 187)
Inequivalent atoms, fractional coordinates:
Pr1 0.0000 0.0000 0.0000 x1
Ni1 0.3333 0.6667 0.5000 x1
Ag1 0.6667 0.3333 0.5000 x1

***

Run 3
The following is a DFT calculation (GGA-PBE) of a relaxed PrNiAg crystal.

Summary:
Magnetic moment: 0.000 μB/f.u.

Cell lengths 6.536, 6.536, 6.536 Å; angles 90.00, 90.00, 90.00 degrees
Space group F-43m (No. 216)
Inequivalent atoms, fractional coordinates:
Pr1 0.000 0.000 0.000 x4
Ni1 0.250 0.250 0.750 x4
Ag1 0.000 0.000 0.500 x4

***

Most favorable structure: run 2. The second most favorable one is 0.076 eV/atom above it.

***

Run 1
The following is a DFT calculation (GGA-PBE) of a relaxed PrNiAg crystal.

Summary:
Magnetic moment: 0.000 μB/f.u.

Cell lengths 3.814, 17.018, 3.922 Å; angles 90.00, 90.00, 90.00 degrees
Space group Cmcm (No. 63)
Inequivalent atoms, fractional coordinates:
Pr1 0.000 0.102 0.250 x4
Ni1 0.000 0.459 0.250 x4
Ag1 0.000 0.291 0.250 x4

***

Run 2
The following is a DFT calculation (GGA-PBE) of a relaxed PrNiAg crystal.

Summary:
Magnetic moment: 0.000 μB/f.u.

Cell lengths 12.424, 4.085, 5.174 Å; angles 90.00, 101.90, 90.00 degrees
Space group C2/m (No. 12)
Inequivalent atoms, fractional coordinates:
Pr1 0.126 0.000 0.310 x4
Ni1 0.231 0.000 0.865 x4
Ag1 0.082 0.500 0.770 x4

***

Most favorable structure: run 1. The second most favorable one is 0.048 eV/atom above it.

***

Run 1
The following is a DFT calculation (GGA-PBE) of a relaxed Pr4NiAg crystal.

Summary:
Magnetic moment: 0.000 μB/f.u.

Cell lengths 6.283, 7.188, 8.344 Å; angles 90.00, 109.96, 90.00 degrees
Space group P2_1/m (No. 11)
Inequivalent atoms, fractional coordinates:
Pr1 0.019 0.003 0.224 x4
Pr2 0.415 0.250 0.627 x2
Pr3 0.432 0.250 0.083 x2
Ni1 0.215 0.750 0.054 x2
Ag1 0.215 0.750 0.556 x2

***

Run 2
The following is a DFT calculation (GGA-PBE) of a relaxed Pr4NiAg crystal.

Summary:
Magnetic moment: 0.000 μB/f.u.

Cell lengths 7.107, 7.400, 7.224 Å; angles 90.00, 96.20, 90.00 degrees
Space group P2_1/c (No. 14)
Inequivalent atoms, fractional coordinates:
Pr1 0.159 0.171 0.195 x4
Pr2 0.323 0.653 0.118 x4
Ni1 0.000 0.000 0.500 x2
Ag1 0.500 0.000 0.000 x2

***

Most favorable structure: run 1. The second most favorable one is 0.093 eV/atom above it.

***

Run 1
The following is a DFT calculation (GGA-PBE) of a relaxed Pr8NiAg2 crystal.

Summary:
Magnetic moment: 0.000 μB/f.u.

Cell lengths 18.221, 5.275, 7.078 Å; angles 90.00, 101.70, 90.00 degrees
Space group C2/m (No. 12)
Inequivalent atoms, fractional coordinates:
Pr1 0.023 0.000 0.280 x4
Pr2 0.088 0.500 0.945 x4
Pr3 0.155 0.500 0.472 x4
Pr4 0.202 0.000 0.824 x4
Ni1 0.000 0.500 0.500 x2
Ag1 0.190 0.000 0.243 x4

***

Run 2
The following is a DFT calculation (GGA-PBE) of a relaxed Pr8NiAg2 crystal.

Summary:
Magnetic moment: 0.000 μB/f.u.

Cell lengths 7.648, 16.626, 6.353 Å; angles 90.00, 121.76, 90.00 degrees
Space group Cm (No. 8)
Inequivalent atoms, fractional coordinates:
Pr1 0.000 0.000 0.000 x2
Pr2 0.011 0.112 0.507 x4
Pr3 0.036 0.500 0.388 x2
Pr4 0.058 0.385 0.874 x4
Pr5 0.279 0.197 0.178 x4
Ni1 0.284 0.000 0.872 x2
Ag1 0.279 0.278 0.677 x4

***

Most favorable structure: run 1. The second most favorable one is 0.019 eV/atom above it.

***

Run 1
The following is a DFT calculation (GGA-PBE) of a relaxed NiAgPt3 crystal.

Summary:
Magnetic moment: 0.760 μB/f.u.

Cell lengths 4.574, 4.574, 4.574 Å; angles 90.00, 90.00, 90.00 degrees
Space group Pm-3m (No. 221)
Inequivalent atoms, fractional coordinates:
Ni1 0.000 0.000 0.000 x1
Ag1 0.500 0.500 0.500 x1
Pt1 0.000 0.000 0.500 x3

***

Run 2
The following is a DFT calculation (GGA-PBE) of a relaxed NiAgPt3 crystal.

Summary:
Magnetic moment: 1.335 μB/f.u.

Cell lengths 4.864, 4.864, 4.864 Å; angles 90.00, 90.00, 90.00 degrees
Space group Pm-3m (No. 221)
Inequivalent atoms, fractional coordinates:
Ni1 0.000 0.000 0.000 x1
Ag1 0.500 0.500 0.500 x1
Pt1 0.000 0.500 0.500 x3

***

Most favorable structure: run 1. The second most favorable one is 0.927 eV/atom above it.

***

Run 1
The following is a DFT calculation (GGA-PBE) of a relaxed RbNi2Ag2 crystal.

Summary:
Magnetic moment: 0.827 μB/f.u.

Cell lengths 8.128, 8.128, 2.881 Å; angles 90.00, 90.00, 90.00 degrees
Space group P4/mbm (No. 127)
Inequivalent atoms, fractional coordinates:
Rb1 0.000 0.000 0.000 x2
Ni1 0.105 0.395 0.000 x4
Ag1 0.178 0.678 0.500 x4

***

Run 2
The following is a DFT calculation (GGA-PBE) of a relaxed RbNi2Ag2 crystal.

Summary:
Magnetic moment: 0.728 μB/f.u.

Cell lengths 4.489, 4.489, 10.412 Å; angles 90.00, 90.00, 90.00 degrees
Space group I4/mmm (No. 139)
Inequivalent atoms, fractional coordinates:
Rb1 0.000 0.000 0.000 x2
Ni1 0.000 0.000 0.389 x4
Ag1 0.000 0.500 0.250 x4

***

Most favorable structure: run 1. The second most favorable one is 0.081 eV/atom above it.